Record 1
# Ac5Tl2Pd PBE-GGA relaxed
# energy of formation from the pure elements: -0.378 eV per atom
# V: 36.9 Å³ per atom
# spin magnetization: 0.00 μB per formula unit
# VASP energy: -4.19 eV per atom
data_Ac5Tl2Pd
_chemical_formula_sum 'Ac10 Tl4 Pd2'
_cell_length_a 8.643
_cell_length_b 13.354
_cell_length_c 5.122
_cell_angle_alpha 90.00
_cell_angle_beta 90.00
_cell_angle_gamma 90.00
_space_group_name_H-M_alt 'P b a m'
_space_group_IT_number 55
_space_group_name_Hall '-P 2 2ab'
loop_
_atom_site_label
_atom_site_fract_x
_atom_site_fract_y
_atom_site_fract_z
Ac1 0.000 0.000 0.000
Ac2 0.141 0.294 0.000
Ac3 0.181 0.577 0.500
Tl1 0.079 0.833 0.500
Pd1 0.000 0.500 0.000

Record 2
# ZrTcHg2 PBE-GGA relaxed
# energy of formation from the pure elements: 0.297 eV per atom
# ΔE to the lowest computed polymorph: 5.02 kcal/mol of atoms
# V: 19.4 Å³ per atom
# spin magnetization: 0.01 μB per formula unit
# VASP energy: -4.58 eV per atom
data_ZrTcHg2
_chemical_formula_sum 'Zr4 Tc4 Hg8'
_cell_length_a 6.765
_cell_length_b 6.765
_cell_length_c 6.765
_cell_angle_alpha 90.00
_cell_angle_beta 90.00
_cell_angle_gamma 90.00
_space_group_name_H-M_alt 'F m -3 m'
_space_group_IT_number 225
_space_group_name_Hall '-F 4 2 3'
loop_
_atom_site_label
_atom_site_fract_x
_atom_site_fract_y
_atom_site_fract_z
Zr1 0.000 0.000 0.000
Tc1 0.000 0.000 0.500
Hg1 0.250 0.250 0.250

Record 3
# SrTmI PBE-GGA relaxed
# energy relative to the elements, uncorrected: -0.444 eV per atom
# V: 36.1 Å³ per atom
# spin magnetization: 0.38 μB per formula unit
# VASP energy: -3.01 eV per atom
data_SrTmI
_chemical_formula_sum 'Sr4 Tm4 I4'
_cell_length_a 16.236
_cell_length_b 3.926
_cell_length_c 6.801
_cell_angle_alpha 90.00
_cell_angle_beta 90.00
_cell_angle_gamma 90.00
_space_group_name_H-M_alt 'A m m 2'
_space_group_IT_number 38
_space_group_name_Hall 'A 2 -2'
loop_
_atom_site_label
_atom_site_fract_x
_atom_site_fract_y
_atom_site_fract_z
Sr1 0.000 0.000 0.000
Sr2 0.500 0.000 0.332
Tm1 0.190 0.000 0.333
I1 0.330 0.000 0.999

Record 4
# LaGd2Cd PBE-GGA relaxed
# energy of formation from the pure elements: -0.119 eV per atom
# ΔE to the lowest computed polymorph: 0.90 kcal/mol of atoms
# V: 30.6 Å³ per atom
# spin magnetization: 15.71 μB per formula unit
# VASP energy: -8.62 eV per atom
data_LaGd2Cd
_chemical_formula_sum 'La1 Gd2 Cd1'
_cell_length_a 4.957
_cell_length_b 4.957
_cell_length_c 4.974
_cell_angle_alpha 90.00
_cell_angle_beta 90.00
_cell_angle_gamma 90.00
_space_group_name_H-M_alt 'P 4/m m m'
_space_group_IT_number 123
_space_group_name_Hall '-P 4 2'
loop_
_atom_site_label
_atom_site_fract_x
_atom_site_fract_y
_atom_site_fract_z
La1 0.000 0.000 0.000
Gd1 0.000 0.500 0.500
Cd1 0.500 0.500 0.000

Among the records above, which one has the highest V? Ac5Tl2Pd

The highest spin magnetization belongs to which entry? LaGd2Cd

Which value of V does entry 1 give? 36.9 Å³ per atom